# Sr2SbPb2

A geometry-optimized Sr2SbPb2 structure (PBE, the Alexandria database).

The structure in POSCAR format:
```
Sr2SbPb2
1.0
9.622 0.000 0.000
0.000 9.622 0.000
0.000 0.000 3.973
Pb Sb Sr
4 2 4
Direct
0.107 0.607 0.500
0.607 0.893 0.500
0.893 0.393 0.500
0.393 0.107 0.500
0.000 0.000 0.000
0.500 0.500 0.000
0.306 0.806 0.000
0.806 0.694 0.000
0.694 0.194 0.000
0.194 0.306 0.000
```

Calculated values
Symmetry: No. 127
Energy (eV for the cell shown): -32.7
Raw formation energy (eV per atom): -0.29
E above lowest polymorph (meV per atom): 228